# PBE-GGA MnInIr, relaxed
# Formation energy (eV/atom): 0.107
data_MnInIr
_chemical_formula_sum 'Mn4 In4 Ir4'
_cell_length_a 2.884
_cell_length_b 4.580
_cell_length_c 14.558
_cell_angle_alpha 90.00
_cell_angle_beta 90.00
_cell_angle_gamma 90.00
_symmetry_space_group_name_H-M 'I m m m'
_symmetry_Int_Tables_number 71
_symmetry_space_group_name_Hall '-I 2 2'
loop_
_atom_site_label
_atom_site_fract_x
_atom_site_fract_y
_atom_site_fract_z
Mn1 0.000 0.217 0.000
In1 0.000 0.000 0.184
Ir1 0.000 0.000 0.382

---

# PBE-GGA PmTiF6, relaxed
# Energy relative to the elements, uncorrected (eV per atom): -3.67
data_PmTiF6
_chemical_formula_sum 'Pm3 Ti3 F18'
_cell_length_a 5.6932
_cell_length_b 5.6932
_cell_length_c 15.0881
_cell_angle_alpha 90.00
_cell_angle_beta 90.00
_cell_angle_gamma 120.00
_symmetry_space_group_name_H-M 'R -3'
_symmetry_Int_Tables_number 148
_symmetry_space_group_name_Hall '-R 3'
loop_
_atom_site_label
_atom_site_fract_x
_atom_site_fract_y
_atom_site_fract_z
Pm1 0.0000 0.0000 0.0000
Ti1 0.0000 0.0000 0.5000
F1 0.0244 0.4249 0.2445

---

# PBE-GGA HgPd2F11, relaxed
# Energy relative to the elements, uncorrected (eV per atom): -1.13
data_HgPd2F11
_chemical_formula_sum 'Hg4 Pd8 F44'
_cell_length_a 8.936
_cell_length_b 8.955
_cell_length_c 10.331
_cell_angle_alpha 90.00
_cell_angle_beta 90.00
_cell_angle_gamma 90.00
_symmetry_space_group_name_H-M 'I b a m'
_symmetry_Int_Tables_number 72
_symmetry_space_group_name_Hall '-I 2 2c'
loop_
_atom_site_label
_atom_site_fract_x
_atom_site_fract_y
_atom_site_fract_z
Hg1 0.000 0.000 0.250
Pd1 0.162 0.339 0.000
F1 0.000 0.500 0.000
F2 0.054 0.230 0.133
F3 0.190 0.308 0.500
F4 0.229 0.053 0.367

---

# PBE-GGA Cs4Pr3PbO8, relaxed
# Energy relative to the elements, uncorrected (eV per atom): -2.11
data_Cs4Pr3PbO8
_chemical_formula_sum 'Cs12 Pr9 Pb3 O24'
_cell_length_a 7.4613
_cell_length_b 7.4613
_cell_length_c 20.9166
_cell_angle_alpha 90.00
_cell_angle_beta 90.00
_cell_angle_gamma 120.00
_symmetry_space_group_name_H-M 'R -3 m'
_symmetry_Int_Tables_number 166
_symmetry_space_group_name_Hall '-R 3 2"'
loop_
_atom_site_label
_atom_site_fract_x
_atom_site_fract_y
_atom_site_fract_z
Cs1 0.0000 0.0000 0.0000
Cs2 0.0000 0.5000 0.0000
Pr1 0.0000 0.5000 0.5000
Pb1 0.0000 0.0000 0.5000
O1 0.0000 0.0000 0.2232
O2 0.0054 0.5027 0.7748

---

# PBE-GGA Ba2SrRu, relaxed
# Formation energy (eV/atom): 0.391
# E above lowest polymorph (kJ/mol of formula units): 31
data_Ba2SrRu
_chemical_formula_sum 'Ba4 Sr2 Ru2'
_cell_length_a 5.393
_cell_length_b 5.418
_cell_length_c 10.994
_cell_angle_alpha 90.00
_cell_angle_beta 90.00
_cell_angle_gamma 90.00
_symmetry_space_group_name_H-M 'C m m 2'
_symmetry_Int_Tables_number 35
loop_
_symmetry_equiv_pos_as_xyz
'x,y,z'
'-x,-y,z'
'-x,y,z'
'x,-y,z'
'x+1/2,y+1/2,z'
'-x+1/2,-y+1/2,z'
'-x+1/2,y+1/2,z'
'x+1/2,-y+1/2,z'
loop_
_atom_site_label
_atom_site_fract_x
_atom_site_fract_y
_atom_site_fract_z
Ba1 0.000 0.000 0.000
Ba2 0.000 0.500 0.348
Sr1 0.000 0.500 0.672
Ru1 0.000 0.000 0.514

---

# PBE-GGA Ca2LaSi, relaxed
# Energy relative to the elements, uncorrected (eV per atom): -0.06
data_Ca2LaSi
_chemical_formula_sum 'Ca4 La2 Si2'
_cell_length_a 4.834
_cell_length_b 4.834
_cell_length_c 9.754
_cell_angle_alpha 90.00
_cell_angle_beta 90.00
_cell_angle_gamma 90.00
_symmetry_space_group_name_H-M 'I -4 m 2'
_symmetry_Int_Tables_number 119
_symmetry_space_group_name_Hall 'I -4 -2'
loop_
_atom_site_label
_atom_site_fract_x
_atom_site_fract_y
_atom_site_fract_z
Ca1 0.000 0.000 0.000
Ca2 0.000 0.500 0.250
La1 0.000 0.500 0.750
Si1 0.000 0.000 0.500

---

# PBE-GGA YHf2Sn2, relaxed
# Formation energy (eV/atom): -0.209
# E above lowest polymorph (kJ/mol of formula units): 69
data_YHf2Sn2
_chemical_formula_sum 'Y2 Hf4 Sn4'
_cell_length_a 8.660
_cell_length_b 8.660
_cell_length_c 3.214
_cell_angle_alpha 90.00
_cell_angle_beta 90.00
_cell_angle_gamma 90.00
_symmetry_space_group_name_H-M 'P 4/m b m'
_symmetry_Int_Tables_number 127
_symmetry_space_group_name_Hall '-P 4 2ab'
loop_
_atom_site_label
_atom_site_fract_x
_atom_site_fract_y
_atom_site_fract_z
Y1 0.000 0.000 0.000
Hf1 0.121 0.379 0.000
Sn1 0.174 0.674 0.500

---

The following is a PBE-GGA calculation of a relaxed Sc2FeHPt crystal, from Alexandria.

Cell and atoms, written as CIF:
```
data_Sc2FeHPt
_chemical_formula_sum 'Sc2 Fe1 H1 Pt1'
_cell_length_a 4.457
_cell_length_b 4.457
_cell_length_c 3.419
_cell_angle_alpha 90.00
_cell_angle_beta 90.00
_cell_angle_gamma 90.00
_symmetry_space_group_name_H-M 'P 4/m m m'
_symmetry_Int_Tables_number 123
_symmetry_space_group_name_Hall '-P 4 2'
loop_
_atom_site_label
_atom_site_fract_x
_atom_site_fract_y
_atom_site_fract_z
Sc1 0.000 0.500 0.000
Fe1 0.000 0.000 0.500
H1 0.000 0.000 0.000
Pt1 0.500 0.500 0.500
```

---

# PBE-GGA LaTb3F, relaxed
# Energy relative to the elements, uncorrected (eV per atom): -0.93
data_LaTb3F
_chemical_formula_sum 'La1 Tb3 F1'
_cell_length_a 5.118
_cell_length_b 5.118
_cell_length_c 5.118
_cell_angle_alpha 90.00
_cell_angle_beta 90.00
_cell_angle_gamma 90.00
_symmetry_space_group_name_H-M 'P m -3 m'
_symmetry_Int_Tables_number 221
_symmetry_space_group_name_Hall '-P 4 2 3'
loop_
_atom_site_label
_atom_site_fract_x
_atom_site_fract_y
_atom_site_fract_z
La1 0.000 0.000 0.000
Tb1 0.000 0.500 0.500
F1 0.500 0.500 0.500

---

# PBE-GGA Nd2Ge4RuPt3, relaxed
# Formation energy (eV/atom): -0.885
data_Nd2Ge4RuPt3
_chemical_formula_sum 'Nd2 Ge4 Ru1 Pt3'
_cell_length_a 4.285
_cell_length_b 4.285
_cell_length_c 10.384
_cell_angle_alpha 90.00
_cell_angle_beta 90.00
_cell_angle_gamma 90.00
_symmetry_space_group_name_H-M 'P -4 m 2'
_symmetry_Int_Tables_number 115
loop_
_symmetry_equiv_pos_as_xyz
'x,y,z'
'y,-x,-z'
'-x,-y,z'
'-y,x,-z'
'-x,y,z'
'-y,-x,-z'
'x,-y,z'
'y,x,-z'
loop_
_atom_site_label
_atom_site_fract_x
_atom_site_fract_y
_atom_site_fract_z
Nd1 0.000 0.500 0.247
Ge1 0.000 0.000 0.000
Ge2 0.000 0.500 0.629
Ge3 0.500 0.500 0.000
Ru1 0.000 0.000 0.500
Pt1 0.000 0.500 0.868
Pt2 0.500 0.500 0.500

---

# PBE-GGA Mg2FeOs, relaxed
# Formation energy (eV/atom): 0.910
# E above lowest polymorph (kJ/mol of formula units): 308
data_Mg2FeOs
_chemical_formula_sum 'Mg8 Fe4 Os4'
_cell_length_a 7.045
_cell_length_b 7.045
_cell_length_c 5.074
_cell_angle_alpha 90.00
_cell_angle_beta 90.00
_cell_angle_gamma 90.00
_symmetry_space_group_name_H-M 'I -4 2 d'
_symmetry_Int_Tables_number 122
_symmetry_space_group_name_Hall 'I -4 2bw'
loop_
_atom_site_label
_atom_site_fract_x
_atom_site_fract_y
_atom_site_fract_z
Mg1 0.231 0.750 0.125
Fe1 0.000 0.000 0.000
Os1 0.000 0.000 0.500

---

# PBE-GGA Fe2Si2Ru, relaxed
# Energy relative to the elements, uncorrected (eV per atom): -0.32
data_Fe2Si2Ru
_chemical_formula_sum 'Fe4 Si4 Ru2'
_cell_length_a 6.635
_cell_length_b 6.635
_cell_length_c 2.630
_cell_angle_alpha 90.00
_cell_angle_beta 90.00
_cell_angle_gamma 90.00
_symmetry_space_group_name_H-M 'P 4/m b m'
_symmetry_Int_Tables_number 127
_symmetry_space_group_name_Hall '-P 4 2ab'
loop_
_atom_site_label
_atom_site_fract_x
_atom_site_fract_y
_atom_site_fract_z
Fe1 0.154 0.346 0.000
Si1 0.144 0.644 0.500
Ru1 0.000 0.000 0.500

---

Respective E values: -6.816; -6.655; -3.368; -5.927; -3.310; -3.649; -7.085; -6.784; -5.063; -6.425; -4.810; -7.728 eV/atom.